*w*
Material: Sn2TeCl2
Method: DFT, PBE
State: optimized geometry

CIF file:
```
data_Sn2TeCl2
_chemical_formula_sum 'Sn4 Te2 Cl4'
_cell_length_a 14.591
_cell_length_b 4.405
_cell_length_c 5.800
_cell_angle_alpha 90.00
_cell_angle_beta 103.13
_cell_angle_gamma 90.00
_symmetry_space_group_name_H-M 'C 1 2/m 1'
_symmetry_Int_Tables_number 12
_symmetry_space_group_name_Hall '-C 2y'
loop_
_atom_site_label
_atom_site_type_symbol
_atom_site_fract_x
_atom_site_fract_y
_atom_site_fract_z
Sn1 Sn 0.146 0.000 0.153
Te1 Te 0.000 0.500 0.000
Cl1 Cl 0.200 0.000 0.741
```

***

*x*
Material: Sn2TeCl2
Method: DFT, PBE
State: optimized geometry

CIF file:
```
data_Sn2TeCl2
_chemical_formula_sum 'Sn4 Te2 Cl4'
_cell_length_a 4.486
_cell_length_b 4.486
_cell_length_c 13.864
_cell_angle_alpha 90.00
_cell_angle_beta 90.00
_cell_angle_gamma 90.00
_symmetry_space_group_name_H-M 'I 4/m m m'
_symmetry_Int_Tables_number 139
_symmetry_space_group_name_Hall '-I 4 2'
loop_
_atom_site_label
_atom_site_type_symbol
_atom_site_fract_x
_atom_site_fract_y
_atom_site_fract_z
Sn1 Sn 0.000 0.000 0.118
Te1 Te 0.000 0.000 0.500
Cl1 Cl 0.000 0.500 0.250
```

***

Tell me which of them is the least stable. Sure, it is *x*.

***

*w*
Material: Sn2Te2Cl
Method: DFT, PBE
State: optimized geometry

CIF file:
```
data_Sn2Te2Cl
_chemical_formula_sum 'Sn4 Te4 Cl2'
_cell_length_a 6.165
_cell_length_b 4.273
_cell_length_c 12.700
_cell_angle_alpha 90.00
_cell_angle_beta 90.80
_cell_angle_gamma 90.00
_symmetry_space_group_name_H-M 'P 1 21/m 1'
_symmetry_Int_Tables_number 11
_symmetry_space_group_name_Hall '-P 2yb'
loop_
_atom_site_label
_atom_site_type_symbol
_atom_site_fract_x
_atom_site_fract_y
_atom_site_fract_z
Sn1 Sn 0.241 0.250 0.223
Sn2 Sn 0.254 0.250 0.606
Te1 Te 0.247 0.750 0.411
Te2 Te 0.259 0.750 0.775
Cl1 Cl 0.239 0.750 0.088
```

***

*x*
Material: Sn2Te2Cl
Method: DFT, PBE
State: optimized geometry

CIF file:
```
data_Sn2Te2Cl
_chemical_formula_sum 'Sn2 Te2 Cl1'
_cell_length_a 4.429
_cell_length_b 6.126
_cell_length_c 7.150
_cell_angle_alpha 113.48
_cell_angle_beta 96.70
_cell_angle_gamma 102.92
_symmetry_space_group_name_H-M 'P -1'
_symmetry_Int_Tables_number 2
_symmetry_space_group_name_Hall '-P 1'
loop_
_atom_site_label
_atom_site_type_symbol
_atom_site_fract_x
_atom_site_fract_y
_atom_site_fract_z
Sn1 Sn 0.072 0.406 0.191
Te1 Te 0.245 0.251 0.527
Cl1 Cl 0.500 0.000 0.000
```

***

Tell me which of them is the least stable. Sure, it is *x*.

***

*w*
Material: Sn2Te2Cl
Method: DFT, PBE
State: optimized geometry

CIF file:
```
data_Sn2Te2Cl
_chemical_formula_sum 'Sn4 Te4 Cl2'
_cell_length_a 8.693
_cell_length_b 8.693
_cell_length_c 3.918
_cell_angle_alpha 90.00
_cell_angle_beta 90.00
_cell_angle_gamma 90.00
_symmetry_space_group_name_H-M 'P 4/m b m'
_symmetry_Int_Tables_number 127
_symmetry_space_group_name_Hall '-P 4 2ab'
loop_
_atom_site_label
_atom_site_type_symbol
_atom_site_fract_x
_atom_site_fract_y
_atom_site_fract_z
Sn1 Sn 0.152 0.348 0.000
Te1 Te 0.141 0.641 0.500
Cl1 Cl 0.000 0.000 0.500
```

***

*x*
Material: Sn2Te2Cl
Method: DFT, PBE
State: optimized geometry

CIF file:
```
data_Sn2Te2Cl
_chemical_formula_sum 'Sn4 Te4 Cl2'
_cell_length_a 8.387
_cell_length_b 8.387
_cell_length_c 4.138
_cell_angle_alpha 90.00
_cell_angle_beta 90.00
_cell_angle_gamma 90.00
_symmetry_space_group_name_H-M 'P 4/m b m'
_symmetry_Int_Tables_number 127
_symmetry_space_group_name_Hall '-P 4 2ab'
loop_
_atom_site_label
_atom_site_type_symbol
_atom_site_fract_x
_atom_site_fract_y
_atom_site_fract_z
Sn1 Sn 0.174 0.326 0.000
Te1 Te 0.140 0.640 0.500
Cl1 Cl 0.000 0.000 0.000
```

***

*y*
Material: Sn2Te2Cl
Method: DFT, PBE
State: optimized geometry

CIF file:
```
data_Sn2Te2Cl
_chemical_formula_sum 'Sn4 Te4 Cl2'
_cell_length_a 4.934
_cell_length_b 4.934
_cell_length_c 14.123
_cell_angle_alpha 90.00
_cell_angle_beta 90.00
_cell_angle_gamma 90.00
_symmetry_space_group_name_H-M 'I 4/m m m'
_symmetry_Int_Tables_number 139
_symmetry_space_group_name_Hall '-I 4 2'
loop_
_atom_site_label
_atom_site_type_symbol
_atom_site_fract_x
_atom_site_fract_y
_atom_site_fract_z
Sn1 Sn 0.000 0.000 0.118
Te1 Te 0.000 0.500 0.250
Cl1 Cl 0.000 0.000 0.500
```

***

Tell me which of them is the least stable. Sure, it is *w*.

***

*w*
Material: TlSnTeCl
Method: DFT, PBE
State: optimized geometry

CIF file:
```
data_TlSnTeCl
_chemical_formula_sum 'Tl6 Sn6 Te6 Cl6'
_cell_length_a 5.4351
_cell_length_b 5.4351
_cell_length_c 35.5780
_cell_angle_alpha 90.00
_cell_angle_beta 90.00
_cell_angle_gamma 120.00
_symmetry_space_group_name_H-M 'R -3 m'
_symmetry_Int_Tables_number 166
_symmetry_space_group_name_Hall '-R 3 2"'
loop_
_atom_site_label
_atom_site_type_symbol
_atom_site_fract_x
_atom_site_fract_y
_atom_site_fract_z
Tl1 Tl 0.0000 0.0000 0.1183
Sn1 Sn 0.0000 0.0000 0.2939
Te1 Te 0.0000 0.0000 0.3801
Cl1 Cl 0.0000 0.0000 0.2038
```

***

*x*
Material: TlSnTeCl
Method: DFT, PBE
State: optimized geometry

CIF file:
```
data_TlSnTeCl
_chemical_formula_sum 'Tl4 Sn4 Te4 Cl4'
_cell_length_a 7.776
_cell_length_b 7.776
_cell_length_c 7.776
_cell_angle_alpha 90.00
_cell_angle_beta 90.00
_cell_angle_gamma 90.00
_symmetry_space_group_name_H-M 'F -4 3 m'
_symmetry_Int_Tables_number 216
_symmetry_space_group_name_Hall 'F -4 2 3'
loop_
_atom_site_label
_atom_site_type_symbol
_atom_site_fract_x
_atom_site_fract_y
_atom_site_fract_z
Tl1 Tl 0.000 0.000 0.000
Sn1 Sn 0.000 0.000 0.500
Te1 Te 0.250 0.250 0.250
Cl1 Cl 0.250 0.250 0.750
```

***

Tell me which of them is the least stable. Sure, it is *x*.

***

*w*
Material: TiSnCl6
Method: DFT, PBE
State: optimized geometry

CIF file:
```
data_TiSnCl6
_chemical_formula_sum 'Ti3 Sn3 Cl18'
_cell_length_a 6.5284
_cell_length_b 6.5284
_cell_length_c 17.7355
_cell_angle_alpha 90.00
_cell_angle_beta 90.00
_cell_angle_gamma 120.00
_symmetry_space_group_name_H-M 'R -3'
_symmetry_Int_Tables_number 148
_symmetry_space_group_name_Hall '-R 3'
loop_
_atom_site_label
_atom_site_type_symbol
_atom_site_fract_x
_atom_site_fract_y
_atom_site_fract_z
Ti1 Ti 0.0000 0.0000 0.0000
Sn1 Sn 0.0000 0.0000 0.5000
Cl1 Cl 0.0123 0.7091 0.9237
```

***

*x*
Material: TiSnCl6
Method: DFT, PBE
State: optimized geometry

CIF file:
```
data_TiSnCl6
_chemical_formula_sum 'Ti2 Sn2 Cl12'
_cell_length_a 6.526
_cell_length_b 11.994
_cell_length_c 6.489
_cell_angle_alpha 90.00
_cell_angle_beta 106.02
_cell_angle_gamma 90.00
_symmetry_space_group_name_H-M 'C 1 2/m 1'
_symmetry_Int_Tables_number 12
_symmetry_space_group_name_Hall '-C 2y'
loop_
_atom_site_label
_atom_site_type_symbol
_atom_site_fract_x
_atom_site_fract_y
_atom_site_fract_z
Ti1 Ti 0.000 0.000 0.000
Sn1 Sn 0.000 0.500 0.500
Cl1 Cl 0.209 0.140 0.219
Cl2 Cl 0.235 0.000 0.781
```

***

Tell me which of them is the least stable. Sure, it is *w*.

***

*w*
Material: TiSn2Cl
Method: DFT, PBE
State: optimized geometry

CIF file:
```
data_TiSn2Cl
_chemical_formula_sum 'Ti4 Sn8 Cl4'
_cell_length_a 7.193
_cell_length_b 7.193
_cell_length_c 7.193
_cell_angle_alpha 90.00
_cell_angle_beta 90.00
_cell_angle_gamma 90.00
_symmetry_space_group_name_H-M 'F m -3 m'
_symmetry_Int_Tables_number 225
_symmetry_space_group_name_Hall '-F 4 2 3'
loop_
_atom_site_label
_atom_site_type_symbol
_atom_site_fract_x
_atom_site_fract_y
_atom_site_fract_z
Ti1 Ti 0.000 0.000 0.000
Sn1 Sn 0.250 0.250 0.250
Cl1 Cl 0.000 0.000 0.500
```

***

*x*
Material: TiSn2Cl
Method: DFT, PBE
State: optimized geometry

CIF file:
```
data_TiSn2Cl
_chemical_formula_sum 'Ti4 Sn8 Cl4'
_cell_length_a 4.120
_cell_length_b 4.120
_cell_length_c 23.373
_cell_angle_alpha 90.00
_cell_angle_beta 90.00
_cell_angle_gamma 90.00
_symmetry_space_group_name_H-M 'I -4 2 d'
_symmetry_Int_Tables_number 122
_symmetry_space_group_name_Hall 'I -4 2bw'
loop_
_atom_site_label
_atom_site_type_symbol
_atom_site_fract_x
_atom_site_fract_y
_atom_site_fract_z
Ti1 Ti 0.000 0.000 0.000
Sn1 Sn 0.241 0.250 0.125
Cl1 Cl 0.000 0.000 0.500
```

***

Tell me which of them is the least stable. Sure, it is *w*.